No. 1
Compound: NdBiPb2
Source: Alexandria
Functional: PBE
Structure: relaxed

Cell: 5.0984 4.8959 4.8959 Å, 90.00 90.00 90.00°
Last column: nearest neighbours and their distance in Å.
Sites, in units of the cell vectors:
Pb  0.0000  0.0000  0.5000  4 Pb 3.46, 4 Bi 3.53, 4 Nd 3.53
Pb  0.0000  0.5000  0.0000  4 Pb 3.46, 4 Bi 3.53, 4 Nd 3.53
Nd  0.5000  0.5000  0.5000  4 Bi 3.46, 8 Pb 3.53
Bi  0.5000  0.0000  0.0000  4 Nd 3.46, 8 Pb 3.53

V = 30.6 A^3/atom
DOS at the Fermi energy = 2.349 states/eV per cell
SG = No. 123
Uncorrected energy = -4.413 eV/atom
E_form = -1.589 eV/f.u.


No. 2
Compound: Nd2Bi4Pb
Source: Alexandria
Functional: PBE
Structure: relaxed

Cell: 4.5517 4.5517 11.6077 Å, 90.00 90.00 90.00°
Last column: nearest neighbours and their distance in Å.
Sites, in units of the cell vectors:
Nd  0.5000  0.0000  0.7209  8 Bi 3.35-3.43
Nd  0.0000  0.5000  0.2791  8 Bi 3.35-3.43
Bi  0.5000  0.0000  0.1999  2 Pb 3.25, 4 Nd 3.35
Bi  0.0000  0.5000  0.8001  2 Pb 3.25, 4 Nd 3.35
Bi  0.5000  0.5000  0.5000  4 Bi 3.22, 4 Nd 3.43
Bi  0.0000  0.0000  0.5000  4 Bi 3.22, 4 Nd 3.43
Pb  0.5000  0.5000  0.0000  4 Bi 3.25

V = 34.4 A^3/atom
DOS at the Fermi energy = 3.187 states/eV per cell
SG = No. 115
Uncorrected energy = -4.605 eV/atom
E_form = -3.468 eV/f.u.
Excess energy over the best structure of this formula in the dataset = 0.00 eV per formula unit


No. 3
Compound: Nd2BiPb
Source: Alexandria
Functional: PBE
Structure: relaxed

Cell: 4.5530 5.1809 5.1809 Å, 90.00 90.00 90.00°
Last column: nearest neighbours and their distance in Å.
Sites, in units of the cell vectors:
Pb  0.5000  0.0000  0.0000  8 Nd 3.45, 4 Bi 3.66
Nd  0.0000  0.0000  0.5000  4 Pb 3.45, 4 Bi 3.45, 4 Nd 3.66
Nd  0.0000  0.5000  0.0000  4 Pb 3.45, 4 Bi 3.45, 4 Nd 3.66
Bi  0.5000  0.5000  0.5000  8 Nd 3.45, 4 Pb 3.66

V = 30.6 A^3/atom
DOS at the Fermi energy = 4.390 states/eV per cell
SG = No. 123
Uncorrected energy = -4.872 eV/atom
E_form = -2.362 eV/f.u.
Excess energy over the best structure of this formula in the dataset = 0.66 eV per formula unit


No. 4
Compound: NdBi2Pb2
Source: Alexandria
Functional: PBE
Structure: relaxed

Cell: 4.7010 4.7459 14.3070 Å, 90.00 99.46 90.00°
Last column: nearest neighbours and their distance in Å.
Sites, in units of the cell vectors:
Nd  0.3418  0.2500  0.6837  8 Bi 3.38-3.51
Nd  0.6582  0.7500  0.3163  8 Bi 3.38-3.51
Bi  0.7497  0.2500  0.4994  4 Bi 3.34, 4 Nd 3.51
Bi  0.2503  0.7500  0.5006  4 Bi 3.34, 4 Nd 3.51
Bi  0.8592  0.7500  0.7184  4 Nd 3.38, 4 Pb 3.48-3.50
Bi  0.1408  0.2500  0.2816  4 Nd 3.38, 4 Pb 3.48-3.50
Pb  0.0497  0.7500  0.0994  8 Pb 3.34-3.67, 2 Bi 3.50
Pb  0.4499  0.7500  0.8999  8 Pb 3.34-3.69, 2 Bi 3.48
Pb  0.9503  0.2500  0.9006  8 Pb 3.34-3.67, 2 Bi 3.50
Pb  0.5501  0.2500  0.1001  8 Pb 3.34-3.69, 2 Bi 3.48

V = 31.5 A^3/atom
DOS at the Fermi energy = 3.498 states/eV per cell
SG = No. 63
Uncorrected energy = -4.354 eV/atom
E_form = -1.826 eV/f.u.


No. 5
Compound: NdBiPb2
Source: Alexandria
Functional: PBE
Structure: relaxed

Cell: 3.5622 3.5622 12.3788 Å, 81.73 81.73 60.00°
Last column: nearest neighbours and their distance in Å.
Sites, in units of the cell vectors:
Pb  0.0889  0.0889  0.7334  1 Nd 3.25, 3 Bi 3.51, 6 Pb 3.56
Pb  0.9111  0.9111  0.2666  1 Nd 3.25, 3 Bi 3.51, 6 Pb 3.56
Nd  0.0000  0.0000  0.0000  2 Pb 3.25, 6 Nd 3.56
Bi  0.5000  0.5000  0.5000  6 Pb 3.51, 6 Bi 3.56

V = 33.5 A^3/atom
DOS at the Fermi energy = 3.982 states/eV per cell
SG = No. 166
Uncorrected energy = -3.878 eV/atom
E_form = 0.554 eV/f.u.


No. 6
Compound: Nd5Bi2Pb2
Source: Alexandria
Functional: PBE
Structure: relaxed

Cell: 8.5815 8.5368 9.1481 Å, 117.81 90.00 90.00°
Last column: nearest neighbours and their distance in Å.
Sites, in units of the cell vectors:
Nd  0.0000  0.0000  0.0000  2 Bi 3.29, 4 Pb 3.32-3.33
Nd  0.5000  0.5000  0.0000  2 Bi 3.29, 4 Pb 3.32-3.33
Nd  0.8355  0.8027  0.2700  3 Pb 3.24-3.40, 3 Bi 3.30-3.40
Nd  0.1645  0.4673  0.2700  3 Pb 3.24-3.40, 3 Bi 3.30-3.40
Nd  0.3355  0.9673  0.2700  3 Pb 3.24-3.40, 3 Bi 3.30-3.40
Nd  0.6645  0.3027  0.2700  3 Pb 3.24-3.40, 3 Bi 3.30-3.40
Nd  0.1645  0.1973  0.7300  3 Pb 3.24-3.40, 3 Bi 3.30-3.40
Nd  0.8355  0.5327  0.7300  3 Pb 3.24-3.40, 3 Bi 3.30-3.40
Nd  0.6645  0.0327  0.7300  3 Pb 3.24-3.40, 3 Bi 3.30-3.40
Nd  0.3355  0.6973  0.7300  3 Pb 3.24-3.40, 3 Bi 3.30-3.40
Bi  0.0000  0.2033  0.4067  7 Nd 3.29-3.40
Bi  0.5000  0.7033  0.4067  7 Nd 3.29-3.40
Bi  0.0000  0.7967  0.5933  7 Nd 3.29-3.40
Bi  0.5000  0.2967  0.5933  7 Nd 3.29-3.40
Pb  0.6361  0.8640  0.0000  8 Nd 3.24-3.40, 1 Pb 3.29
Pb  0.3639  0.1360  0.0000  8 Nd 3.24-3.40, 1 Pb 3.29
Pb  0.1361  0.6360  0.0000  8 Nd 3.24-3.40, 1 Pb 3.29
Pb  0.8639  0.3640  0.0000  8 Nd 3.24-3.40, 1 Pb 3.29

V = 32.9 A^3/atom
DOS at the Fermi energy = 15.185 states/eV per cell
SG = No. 64
Uncorrected energy = -5.076 eV/atom
E_form = -6.668 eV/f.u.
Excess energy over the best structure of this formula in the dataset = 0.00 eV per formula unit


No. 7
Compound: Nd2BiPb
Source: Alexandria
Functional: PBE
Structure: relaxed

Cell: 4.5554 4.6722 12.7446 Å, 100.56 90.00 90.00°
Last column: nearest neighbours and their distance in Å.
Sites, in units of the cell vectors:
Nd  0.7500  0.6838  0.3675  5 Bi 3.21-3.26, 1 Pb 3.41
Nd  0.2500  0.3162  0.6325  5 Bi 3.21-3.26, 1 Pb 3.41
Nd  0.7500  0.9378  0.8756  1 Bi 3.16, 4 Pb 3.28
Nd  0.2500  0.0622  0.1244  1 Bi 3.16, 4 Pb 3.28
Bi  0.2500  0.1882  0.3764  6 Nd 3.16-3.26
Bi  0.7500  0.8118  0.6236  6 Nd 3.16-3.26
Pb  0.2500  0.4523  0.9045  7 Nd 3.28-3.61, 2 Pb 3.30
Pb  0.7500  0.5477  0.0955  7 Nd 3.28-3.61, 2 Pb 3.30

V = 33.3 A^3/atom
DOS at the Fermi energy = 3.602 states/eV per cell
SG = No. 63
Uncorrected energy = -5.036 eV/atom
E_form = -3.018 eV/f.u.
Excess energy over the best structure of this formula in the dataset = 0.00 eV per formula unit


No. 8
Compound: Nd2BiPb
Source: Alexandria
Functional: PBE
Structure: relaxed

Cell: 5.6242 5.6242 5.6242 Å, 60.00 60.00 60.00°
Last column: nearest neighbours and their distance in Å.
Sites, in units of the cell vectors:
Pb  0.5000  0.5000  0.5000  8 Nd 3.44
Nd  0.2500  0.2500  0.2500  4 Pb 3.44, 4 Bi 3.44
Nd  0.7500  0.7500  0.7500  4 Pb 3.44, 4 Bi 3.44
Bi  0.0000  0.0000  0.0000  8 Nd 3.44

V = 31.4 A^3/atom
DOS at the Fermi energy = 6.508 states/eV per cell
SG = No. 225
Uncorrected energy = -4.813 eV/atom
E_form = -2.126 eV/f.u.
Excess energy over the best structure of this formula in the dataset = 0.89 eV per formula unit


No. 9
Compound: Nd3Bi2Pb
Source: Alexandria
Functional: PBE
Structure: relaxed

Cell: 4.5391 6.5134 8.0228 Å, 113.95 106.43 90.00°
Last column: nearest neighbours and their distance in Å.
Sites, in units of the cell vectors:
Nd  0.3317  0.3317  0.6633  4 Bi 3.23-3.26, 2 Pb 3.27
Nd  0.0000  0.0000  0.0000  4 Bi 3.25, 2 Pb 3.26
Nd  0.6683  0.6683  0.3367  4 Bi 3.23-3.26, 2 Pb 3.27
Bi  0.6671  0.1671  0.3343  6 Nd 3.23-3.26
Bi  0.3329  0.8329  0.6657  6 Nd 3.23-3.26
Pb  0.0000  0.5000  0.0000  6 Nd 3.26-3.27

V = 34.4 A^3/atom
DOS at the Fermi energy = 2.894 states/eV per cell
SG = No. 71
Uncorrected energy = -5.069 eV/atom
E_form = -4.641 eV/f.u.


No. 10
Compound: Nd5Bi2Pb2
Source: Alexandria
Functional: PBE
Structure: relaxed

Cell: 8.6190 8.5541 9.1166 Å, 117.98 90.00 90.00°
Last column: nearest neighbours and their distance in Å.
Sites, in units of the cell vectors:
Nd  0.0000  0.0000  0.0000  2 Pb 3.26, 4 Bi 3.31-3.32
Nd  0.5000  0.5000  0.0000  2 Pb 3.26, 4 Bi 3.31-3.32
Nd  0.8384  0.8044  0.2770  3 Pb 3.24-3.40, 3 Bi 3.26-3.44
Nd  0.1616  0.4726  0.2770  3 Pb 3.24-3.40, 3 Bi 3.26-3.44
Nd  0.3384  0.9726  0.2770  3 Pb 3.24-3.40, 3 Bi 3.26-3.44
Nd  0.6616  0.3044  0.2770  3 Pb 3.24-3.40, 3 Bi 3.26-3.44
Nd  0.1616  0.1956  0.7230  3 Pb 3.24-3.40, 3 Bi 3.26-3.44
Nd  0.8384  0.5274  0.7230  3 Pb 3.24-3.40, 3 Bi 3.26-3.44
Nd  0.6616  0.0274  0.7230  3 Pb 3.24-3.40, 3 Bi 3.26-3.44
Nd  0.3384  0.6956  0.7230  3 Pb 3.24-3.40, 3 Bi 3.26-3.44
Bi  0.6409  0.8602  0.0000  8 Nd 3.26-3.44, 1 Bi 3.41
Bi  0.3591  0.1398  0.0000  8 Nd 3.26-3.44, 1 Bi 3.41
Bi  0.1409  0.6398  0.0000  8 Nd 3.26-3.44, 1 Bi 3.41
Bi  0.8591  0.3602  0.0000  8 Nd 3.26-3.44, 1 Bi 3.41
Pb  0.0000  0.2024  0.4049  7 Nd 3.24-3.40
Pb  0.5000  0.7024  0.4049  7 Nd 3.24-3.40
Pb  0.0000  0.7976  0.5951  7 Nd 3.24-3.40
Pb  0.5000  0.2976  0.5951  7 Nd 3.24-3.40

V = 33.0 A^3/atom
DOS at the Fermi energy = 13.608 states/eV per cell
SG = No. 64
Uncorrected energy = -5.042 eV/atom
E_form = -6.362 eV/f.u.
Excess energy over the best structure of this formula in the dataset = 0.31 eV per formula unit


No. 11
Compound: Nd2BiPb
Source: Alexandria
Functional: PBE
Structure: relaxed

Cell: 4.2114 4.2114 7.0057 Å, 90.00 90.00 90.00°
Last column: nearest neighbours and their distance in Å.
Sites, in units of the cell vectors:
Pb  0.5000  0.5000  0.5000  8 Nd 3.46, 2 Bi 3.50
Nd  0.0000  0.0000  0.7511  4 Bi 3.45, 4 Pb 3.46, 2 Nd 3.49-3.52
Nd  0.0000  0.0000  0.2489  4 Bi 3.45, 4 Pb 3.46, 2 Nd 3.49-3.52
Bi  0.5000  0.5000  0.0000  8 Nd 3.45, 2 Pb 3.50

V = 31.1 A^3/atom
DOS at the Fermi energy = 4.277 states/eV per cell
SG = No. 123
Uncorrected energy = -4.900 eV/atom
E_form = -2.477 eV/f.u.
Excess energy over the best structure of this formula in the dataset = 0.54 eV per formula unit


No. 12
Compound: Nd2BiPb
Source: Alexandria
Functional: PBE
Structure: relaxed

Cell: 4.4805 4.4805 8.2913 Å, 89.97 105.70 120.02°
Last column: nearest neighbours and their distance in Å.
Sites, in units of the cell vectors:
Nd  0.5030  0.2515  0.7545  3 Bi 3.23, 3 Pb 3.27
Nd  0.4969  0.7485  0.2454  3 Bi 3.23, 3 Pb 3.27
Bi  0.0000  0.0000  0.0000  6 Nd 3.23
Pb  0.0000  0.5000  0.5000  6 Nd 3.27

V = 34.2 A^3/atom
DOS at the Fermi energy = 1.706 states/eV per cell
SG = No. 166
Uncorrected energy = -4.968 eV/atom
E_form = -2.749 eV/f.u.
Excess energy over the best structure of this formula in the dataset = 0.27 eV per formula unit